No. 1
11
Lattice="6.387 0.000 0.000 0.000 4.359 0.000 -0.145 0.000 7.695" Properties=species:S:1:pos:R:3 comment="Hf3Cu4Sn4 PBE optimized geometry" rho_kg_m3=9801 crystal_system=monoclinic space_group="No. 6" pbc="T T T"
Hf 0.000 0.000 0.000
Hf -0.004 2.180 3.606
Hf 3.100 0.000 7.562
Cu 1.078 2.180 6.304
Cu 1.641 0.000 2.470
Cu 4.811 2.180 1.126
Cu 5.243 0.000 5.014
Sn 1.744 2.180 1.188
Sn 1.701 0.000 4.991
Sn 4.509 0.000 2.545
Sn 4.582 2.180 6.158

---

No. 2
7
Lattice="2.338 1.350 7.778 -2.338 1.350 7.778 0.000 -2.699 7.778" Properties=species:S:1:pos:R:3 comment="Hf3Cu2Sn2 PBE optimized geometry" rho_kg_m3=10150 crystal_system=trigonal space_group="No. 160" pbc="T T T"
Hf 0.000 0.000 0.000
Hf 0.000 0.000 5.753
Hf 0.000 0.000 17.429
Cu 0.000 0.000 8.783
Cu 0.000 0.000 20.236
Sn 0.000 0.000 2.975
Sn 0.000 0.000 14.374

---

No. 3
6
Lattice="4.486 0.000 0.000 -2.243 3.885 0.000 0.000 0.000 6.363" Properties=species:S:1:pos:R:3 comment="HfCuSn PBE optimized geometry" rho_kg_m3=10802 crystal_system=hexagonal space_group="No. 186" pbc="T T T"
Hf 0.000 0.000 0.000
Hf 0.000 0.000 3.182
Cu 0.000 2.590 1.267
Cu 2.243 1.295 4.449
Sn 0.000 2.590 4.807
Sn 2.243 1.295 1.626

---

No. 4
7
Lattice="2.271 1.311 8.500 -2.271 1.311 8.500 0.000 -2.622 8.500" Properties=species:S:1:pos:R:3 comment="Hf2Cu2Sn3 PBE optimized geometry" rho_kg_m3=9188 crystal_system=trigonal space_group="No. 160" pbc="T T T"
Hf 0.000 0.000 0.000
Hf 0.000 0.000 12.628
Cu 0.000 0.000 6.012
Cu 0.000 0.000 19.127
Sn 0.000 0.000 9.880
Sn 0.000 0.000 15.711
Sn 0.000 0.000 22.092

---

No. 5
4
Lattice="0.000 3.346 3.346 3.346 0.000 3.346 3.346 3.346 0.000" Properties=species:S:1:pos:R:3 comment="HfTaCuSn PBE optimized geometry" rho_kg_m3=12009 crystal_system=cubic space_group="No. 216" pbc="T T T"
Hf 0.000 0.000 0.000
Ta 1.673 1.673 1.673
Cu 5.019 5.019 5.019
Sn 3.346 3.346 3.346

---

No. 6
6
Lattice="4.499 0.000 0.000 -2.249 3.896 0.000 0.000 0.000 6.890" Properties=species:S:1:pos:R:3 comment="TbHfCu2Sn2 PBE optimized geometry" rho_kg_m3=9651 crystal_system=trigonal space_group="No. 156" pbc="T T T"
Tb 0.000 0.000 0.000
Hf 0.000 0.000 3.438
Cu 0.000 2.597 2.290
Cu 2.249 1.299 5.464
Sn 0.000 2.597 5.025
Sn 2.249 1.299 1.722

---

No. 7
6
Lattice="4.485 0.000 0.000 -2.243 3.884 0.000 0.000 0.000 6.779" Properties=species:S:1:pos:R:3 comment="TmHfCu2Sn2 PBE optimized geometry" rho_kg_m3=10010 crystal_system=trigonal space_group="No. 156" pbc="T T T"
Tm 0.000 0.000 0.000
Hf 0.000 0.000 3.383
Cu 0.000 2.590 2.231
Cu 2.243 1.295 5.454
Sn 0.000 2.590 4.968
Sn 2.243 1.295 1.661

---

No. 8
6
Lattice="4.493 0.000 0.000 -2.246 3.891 0.000 0.000 0.000 6.884" Properties=species:S:1:pos:R:3 comment="YHfCu2Sn2 PBE optimized geometry" rho_kg_m3=8720 crystal_system=trigonal space_group="No. 156" pbc="T T T"
Y 0.000 0.000 0.000
Hf 0.000 0.000 3.433
Cu 0.000 2.594 2.278
Cu 2.246 1.297 5.433
Sn 0.000 2.594 5.022
Sn 2.246 1.297 1.714

---

No. 9
4
Lattice="0.000 3.315 3.315 3.315 0.000 3.315 3.315 3.315 0.000" Properties=species:S:1:pos:R:3 comment="HfZnCuSn PBE optimized geometry" rho_kg_m3=9710 crystal_system=cubic space_group="No. 216" pbc="T T T"
Hf 0.000 0.000 0.000
Zn 4.973 4.973 4.973
Cu 3.315 3.315 3.315
Sn 1.658 1.658 1.658

---

No. 10
4
Lattice="0.000 3.293 3.293 3.293 0.000 3.293 3.293 3.293 0.000" Properties=species:S:1:pos:R:3 comment="HfZnCuSn PBE optimized geometry" rho_kg_m3=9905 crystal_system=cubic space_group="No. 216" pbc="T T T"
Hf 0.000 0.000 0.000
Zn 1.647 1.647 1.647
Cu 4.940 4.940 4.940
Sn 3.293 3.293 3.293

---

No. 11
8
Lattice="4.178 0.000 0.000 0.000 4.178 0.000 0.000 0.000 9.236" Properties=species:S:1:pos:R:3 comment="HfZrCu2Sn4 PBE optimized geometry" rho_kg_m3=8977 crystal_system=tetragonal space_group="No. 99" pbc="T T T"
Hf 0.000 0.000 0.000
Zr 2.089 2.089 4.645
Cu 0.000 2.089 6.979
Cu 2.089 0.000 6.979
Sn 0.000 0.000 5.337
Sn 0.000 2.089 2.318
Sn 2.089 0.000 2.318
Sn 2.089 2.089 8.602

---

No. 12
4
Lattice="0.000 3.432 3.432 3.432 0.000 3.432 3.432 3.432 0.000" Properties=species:S:1:pos:R:3 comment="HfZrCuSn PBE optimized geometry" rho_kg_m3=9287 crystal_system=cubic space_group="No. 216" pbc="T T T"
Hf 0.000 0.000 0.000
Zr 1.716 1.716 1.716
Cu 5.147 5.147 5.147
Sn 3.432 3.432 3.432

---

No. 13
4
Lattice="0.000 3.829 3.829 3.829 0.000 3.829 3.829 3.829 0.000" Properties=species:S:1:pos:R:3 comment="Sr2HfCu PBE optimized geometry" rho_kg_m3=6173 crystal_system=cubic space_group="No. 216" pbc="T T T"
Sr 0.000 0.000 0.000
Sr 1.914 1.914 1.914
Hf 5.743 5.743 5.743
Cu 3.829 3.829 3.829

---

No. 14
4
Lattice="0.000 3.598 3.598 3.598 0.000 3.598 3.598 3.598 0.000" Properties=species:S:1:pos:R:3 comment="SrHf2Cu PBE optimized geometry" rho_kg_m3=9059 crystal_system=cubic space_group="No. 216" pbc="T T T"
Sr 0.000 0.000 0.000
Hf 1.799 1.799 1.799
Hf 3.598 3.598 3.598
Cu 5.397 5.397 5.397

---

No. 15
4
Lattice="0.000 3.203 3.203 3.203 0.000 3.203 3.203 3.203 0.000" Properties=species:S:1:pos:R:3 comment="HfTaCu2 PBE optimized geometry" rho_kg_m3=12292 crystal_system=cubic delta_e_f_kj_per_mol_atoms=43.4 space_group="No. 216" pbc="T T T"
Hf 0.000 0.000 0.000
Ta 4.805 4.805 4.805
Cu 1.602 1.602 1.602
Cu 3.203 3.203 3.203

---

No. 16
4
Lattice="0.000 3.387 3.387 3.387 0.000 3.387 3.387 3.387 0.000" Properties=species:S:1:pos:R:3 comment="HfTaTlCu PBE optimized geometry" rho_kg_m3=13402 crystal_system=cubic space_group="No. 216" pbc="T T T"
Hf 0.000 0.000 0.000
Ta 1.694 1.694 1.694
Tl 3.387 3.387 3.387
Cu 5.081 5.081 5.081

---

No. 17
8
Lattice="4.480 0.000 0.000 0.000 5.769 0.000 0.000 0.000 4.709" Properties=species:S:1:pos:R:3 comment="TbHfCu6 PBE optimized geometry" rho_kg_m3=9808 crystal_system=orthorhombic delta_e_f_kj_per_mol_atoms=-13.6 space_group="No. 25" pbc="T T T"
Tb 0.000 0.000 0.000
Hf 2.240 2.884 1.440
Cu 0.000 1.602 2.339
Cu 0.000 2.884 4.588
Cu 0.000 4.167 2.339
Cu 2.240 0.000 1.817
Cu 2.240 1.572 3.794
Cu 2.240 4.196 3.794

---

No. 18
3
Lattice="0.000 2.971 2.971 2.971 0.000 2.971 2.971 2.971 0.000" Properties=species:S:1:pos:R:3 comment="HfCuTc PBE optimized geometry" rho_kg_m3=10761 crystal_system=cubic delta_e_f_kj_per_mol_atoms=35.3 space_group="No. 216" pbc="T T T"
Hf 0.000 0.000 0.000
Cu 1.486 1.486 1.486
Tc 2.971 2.971 2.971

---

No. 19
10
Lattice="3.149 0.000 0.000 -1.575 2.727 0.000 0.000 0.000 21.074" Properties=species:S:1:pos:R:3 comment="Hf2Cu2Tc PBE optimized geometry" rho_kg_m3=10682 crystal_system=hexagonal delta_e_f_kj_per_mol_atoms=13.9 space_group="No. 194" pbc="T T T"
Hf 0.000 1.818 2.019
Hf 0.000 1.818 8.518
Hf 1.575 0.909 12.556
Hf 1.575 0.909 19.055
Cu 0.000 1.818 14.600
Cu 0.000 1.818 17.010
Cu 1.575 0.909 4.063
Cu 1.575 0.909 6.474
Tc 0.000 0.000 0.000
Tc 0.000 0.000 10.537

---

No. 20
4
Lattice="3.287 0.000 0.000 0.000 3.287 0.000 0.000 0.000 6.371" Properties=species:S:1:pos:R:3 comment="Hf2CuTc PBE optimized geometry" rho_kg_m3=12508 crystal_system=tetragonal delta_e_f_kj_per_mol_atoms=-35.8 space_group="No. 123" pbc="T T T"
Hf 0.000 0.000 1.556
Hf 0.000 0.000 4.815
Cu 1.644 1.644 3.186
Tc 1.644 1.644 0.000

---

No. 21
4
Lattice="0.000 3.119 3.119 3.119 0.000 3.119 3.119 3.119 0.000" Properties=species:S:1:pos:R:3 comment="HfCu2Tc PBE optimized geometry" rho_kg_m3=11043 crystal_system=cubic delta_e_f_kj_per_mol_atoms=14.4 space_group="No. 216" pbc="T T T"
Hf 0.000 0.000 0.000
Cu 1.560 1.560 1.560
Cu 3.119 3.119 3.119
Tc 4.679 4.679 4.679

---

No. 22
16
Lattice="5.351 0.000 0.000 0.000 7.846 0.000 0.000 0.000 6.439" Properties=species:S:1:pos:R:3 comment="Hf2CuTc PBE optimized geometry" rho_kg_m3=12740 crystal_system=orthorhombic delta_e_f_kj_per_mol_atoms=-16.5 space_group="No. 62" pbc="T T T"
Hf 1.326 0.408 0.579
Hf 1.326 3.515 0.579
Hf 1.349 4.331 3.798
Hf 1.349 7.438 3.798
Hf 4.001 0.408 2.641
Hf 4.001 3.515 2.641
Hf 4.024 4.331 5.861
Hf 4.024 7.438 5.861
Cu 0.010 5.885 1.567
Cu 2.666 1.962 4.787
Cu 2.685 5.885 1.653
Cu 5.341 1.962 4.873
Tc 1.240 1.962 2.604
Tc 1.435 5.885 5.824
Tc 3.916 1.962 0.616
Tc 4.110 5.885 3.835

---

No. 23
4
Lattice="0.000 3.252 3.252 3.252 0.000 3.252 3.252 3.252 0.000" Properties=species:S:1:pos:R:3 comment="Hf2CuTc PBE optimized geometry" rho_kg_m3=12518 crystal_system=cubic delta_e_f_kj_per_mol_atoms=-32.5 space_group="No. 225" pbc="T T T"
Hf 1.626 1.626 1.626
Hf 4.878 4.878 4.878
Cu 0.000 0.000 0.000
Tc 3.252 3.252 3.252

---

No. 24
3
Lattice="0.000 3.040 3.040 3.040 0.000 3.040 3.040 3.040 0.000" Properties=species:S:1:pos:R:3 comment="HfCuTc PBE optimized geometry" rho_kg_m3=10052 crystal_system=cubic delta_e_f_kj_per_mol_atoms=75.6 space_group="No. 216" pbc="T T T"
Hf 0.000 0.000 0.000
Cu 4.560 4.560 4.560
Tc 1.520 1.520 1.520

---

No. 25
4
Lattice="0.000 3.242 3.242 3.242 0.000 3.242 3.242 3.242 0.000" Properties=species:S:1:pos:R:3 comment="Hf2CuTc PBE optimized geometry" rho_kg_m3=12636 crystal_system=cubic delta_e_f_kj_per_mol_atoms=7.8 space_group="No. 216" pbc="T T T"
Hf 0.000 0.000 0.000
Hf 1.621 1.621 1.621
Cu 4.863 4.863 4.863
Tc 3.242 3.242 3.242

---

No. 26
4
Lattice="0.000 3.166 3.166 3.166 0.000 3.166 3.166 3.166 0.000" Properties=species:S:1:pos:R:3 comment="HfCuTcW PBE optimized geometry" rho_kg_m3=13706 crystal_system=cubic delta_e_f_kj_per_mol_atoms=0.1 space_group="No. 216" pbc="T T T"
Hf 0.000 0.000 0.000
Cu 4.749 4.749 4.749
Tc 1.583 1.583 1.583
W 3.166 3.166 3.166

---

No. 27
4
Lattice="0.000 3.160 3.160 3.160 0.000 3.160 3.160 3.160 0.000" Properties=species:S:1:pos:R:3 comment="HfCuTcW PBE optimized geometry" rho_kg_m3=13783 crystal_system=cubic delta_e_f_kj_per_mol_atoms=5.0 space_group="No. 216" pbc="T T T"
Hf 0.000 0.000 0.000
Cu 1.580 1.580 1.580
Tc 3.160 3.160 3.160
W 4.740 4.740 4.740

---

VASP energy (computed, Ha/atom): -0.2092 -0.2373 -0.2265 -0.1985 -0.2593 -0.1996 -0.1982 -0.2110 -0.1699 -0.1712 -0.2024 -0.2326 -0.1286 -0.2078 -0.2521 -0.2338 -0.1746 -0.2809 -0.2718 -0.3259 -0.2495 -0.3186 -0.3246 -0.2656 -0.3093 -0.3398 -0.3380